[1]
The following is a PBE calculation of a relaxed structure of InAs2SeS, from Alexandria via LeMat-Bulk.

Unit cell a=5.000 b=5.000 c=5.015 alpha=90.00 beta=90.00 gamma=90.00
Fractional positions:
In: 0.000 0.000 0.000
As: 0.000 0.500 0.500
As: 0.500 0.000 0.500
Se: 0.500 0.500 0.000
S: 0.500 0.500 0.500

Summary:
DOS at the Fermi energy: 6.2 states/eV/cell
E_tot: -0.2508 Ry/atom
V: 25.07 A^3/atom
Energy relative to the elements, uncorrected: 2.6 eV per formula unit
Excess energy over the best structure of this formula in the dataset: 0.000 eV per atom
Symmetry: P4/mmm, No. 123
Density: 4.977 g/cm³


[2]
The following is a PBE calculation of a relaxed structure of InAs2SeS, from Alexandria via LeMat-Bulk.

Unit cell a=5.366 b=5.366 c=5.165 alpha=90.00 beta=90.00 gamma=90.00
Fractional positions:
In: 0.000 0.000 0.000
As: 0.000 0.500 0.000
As: 0.500 0.000 0.000
Se: 0.000 0.000 0.500
S: 0.500 0.500 0.500

Summary:
DOS at the Fermi energy: 7.0 states/eV/cell
E_tot: -0.2069 Ry/atom
V: 29.74 A^3/atom
Energy relative to the elements, uncorrected: 5.6 eV per formula unit
Excess energy over the best structure of this formula in the dataset: 0.597 eV per atom
Symmetry: P4/mmm, No. 123
Density: 4.195 g/cm³


[3]
The following is a PBE calculation of a relaxed structure of InAsSe2S, from Alexandria via LeMat-Bulk.

Unit cell a=5.240 b=5.240 c=5.480 alpha=90.00 beta=90.00 gamma=90.00
Fractional positions:
In: 0.000 0.000 0.000
As: 0.000 0.000 0.500
Se: 0.000 0.500 0.000
Se: 0.500 0.000 0.000
S: 0.500 0.500 0.500

Summary:
DOS at the Fermi energy: 6.2 states/eV/cell
E_tot: -0.2000 Ry/atom
V: 30.09 A^3/atom
Energy relative to the elements, uncorrected: 4.9 eV per formula unit
Excess energy over the best structure of this formula in the dataset: 0.578 eV per atom
Symmetry: P4/mmm, No. 123
Density: 4.191 g/cm³


[4]
The following is a PBE calculation of a relaxed structure of InAsSe2S, from Alexandria via LeMat-Bulk.

Unit cell a=4.936 b=4.936 c=5.049 alpha=90.00 beta=90.00 gamma=90.00
Fractional positions:
In: 0.000 0.000 0.000
As: 0.500 0.500 0.000
Se: 0.000 0.500 0.500
Se: 0.500 0.000 0.500
S: 0.500 0.500 0.500

Summary:
DOS at the Fermi energy: 5.1 states/eV/cell
E_tot: -0.2425 Ry/atom
V: 24.60 A^3/atom
Energy relative to the elements, uncorrected: 2.0 eV per formula unit
Excess energy over the best structure of this formula in the dataset: 0.000 eV per atom
Symmetry: P4/mmm, No. 123
Density: 5.126 g/cm³


[5]
The following is a PBE calculation of a relaxed structure of InSnAsS, from Alexandria via LeMat-Bulk.

Unit cell a=6.528 b=6.528 c=6.528 alpha=42.18 beta=42.18 gamma=42.18
Fractional positions:
In: 0.000 0.000 0.000
Sn: 0.477 0.477 0.477
As: 0.632 0.632 0.632
S: 0.146 0.146 0.146

Summary:
DOS at the Fermi energy: 0.7 states/eV/cell
E_tot: -0.3005 Ry/atom
V: 28.37 A^3/atom
Energy relative to the elements, uncorrected: -0.8 eV per formula unit
Symmetry: R3m, No. 160
Density: 4.983 g/cm³


[6]
The following is a PBE calculation of a relaxed structure of InSnAsS2, from Alexandria via LeMat-Bulk.

Unit cell a=4.995 b=4.995 c=5.863 alpha=90.00 beta=90.00 gamma=90.00
Fractional positions:
In: 0.000 0.000 0.000
Sn: 0.000 0.000 0.500
As: 0.500 0.500 0.000
S: 0.000 0.500 0.500
S: 0.500 0.000 0.500

Summary:
DOS at the Fermi energy: 4.1 states/eV/cell
E_tot: -0.2403 Ry/atom
V: 29.25 A^3/atom
Energy relative to the elements, uncorrected: 3.3 eV per formula unit
Symmetry: P4/mmm, No. 123
Density: 4.230 g/cm³


[7]
The following is a PBE calculation of a relaxed structure of Ta2InAsS, from Alexandria via LeMat-Bulk.

Unit cell a=5.186 b=5.186 c=4.808 alpha=90.00 beta=90.00 gamma=90.00
Fractional positions:
Ta: 0.000 0.500 0.000
Ta: 0.500 0.000 0.000
In: 0.000 0.000 0.000
As: 0.000 0.000 0.500
S: 0.500 0.500 0.500

Summary:
DOS at the Fermi energy: 5.9 states/eV/cell
E_tot: -0.3636 Ry/atom
V: 25.86 A^3/atom
Energy relative to the elements, uncorrected: 10.5 eV per formula unit
Symmetry: P4/mmm, No. 123
Density: 7.495 g/cm³


[8]
The following is a PBE calculation of a relaxed structure of Tb6InAs2S3, from Alexandria via LeMat-Bulk.

Unit cell a=9.141 b=9.141 c=8.251 alpha=102.87 beta=102.87 gamma=25.52
Fractional positions:
Tb: 0.001 0.001 0.231
Tb: 0.328 0.328 0.414
Tb: 0.332 0.332 0.917
Tb: 0.668 0.668 0.083
Tb: 0.672 0.672 0.586
Tb: 0.999 0.999 0.769
In: 0.500 0.500 0.500
As: 0.167 0.167 0.834
As: 0.833 0.833 0.166
S: 0.168 0.168 0.331
S: 0.500 0.500 0.000
S: 0.832 0.832 0.669

Summary:
DOS at the Fermi energy: 4.1 states/eV/cell
E_tot: -0.4335 Ry/atom
V: 24.10 A^3/atom
Energy relative to the elements, uncorrected: -18.6 eV per formula unit
Symmetry: C2/m, No. 12
Density: 7.548 g/cm³


[9]
The following is a PBE calculation of a relaxed structure of Tl2InAsS4, from Alexandria via LeMat-Bulk.

Unit cell a=8.141 b=8.141 c=8.141 alpha=120.27 beta=119.82 gamma=89.92
Fractional positions:
Tl: 0.000 0.000 0.000
Tl: 0.500 0.000 0.000
Tl: 0.500 0.000 0.500
Tl: 0.500 0.500 0.500
In: 0.000 0.000 0.500
In: 0.000 0.500 0.000
As: 0.000 0.500 0.500
As: 0.500 0.500 0.000
S: 0.201 0.733 0.468
S: 0.235 0.267 0.968
S: 0.235 0.269 0.535
S: 0.235 0.700 0.965
S: 0.765 0.300 0.035
S: 0.765 0.731 0.465
S: 0.765 0.733 0.032
S: 0.799 0.267 0.532

Summary:
DOS at the Fermi energy: 0.5 states/eV/cell
E_tot: -0.2842 Ry/atom
V: 23.83 A^3/atom
Energy relative to the elements, uncorrected: -2.3 eV per formula unit
Symmetry: Imma, No. 74
Density: 6.331 g/cm³


[10]
The following is a PBE calculation of a relaxed structure of InSb2As, from Alexandria via LeMat-Bulk.

Unit cell a=3.707 b=3.707 c=7.431 alpha=90.00 beta=90.00 gamma=90.00
Fractional positions:
In: 0.000 0.000 0.000
Sb: 0.500 0.500 0.282
Sb: 0.500 0.500 0.718
As: 0.000 0.000 0.500

Summary:
DOS at the Fermi energy: 2.1 states/eV/cell
E_tot: -0.2722 Ry/atom
V: 25.53 A^3/atom
Energy relative to the elements, uncorrected: 0.8 eV per formula unit
Excess energy over the best structure of this formula in the dataset: 0.174 eV per atom
Symmetry: P4/mmm, No. 123
Density: 7.045 g/cm³


[11]
The following is a PBE calculation of a relaxed structure of InSb2As, from Alexandria via LeMat-Bulk.

Unit cell a=3.621 b=3.621 c=7.752 alpha=90.00 beta=90.00 gamma=90.00
Fractional positions:
In: 0.000 0.000 0.000
Sb: 0.000 0.000 0.555
Sb: 0.500 0.500 0.276
As: 0.500 0.500 0.747

Summary:
DOS at the Fermi energy: 1.7 states/eV/cell
E_tot: -0.2730 Ry/atom
V: 25.41 A^3/atom
Energy relative to the elements, uncorrected: 0.8 eV per formula unit
Excess energy over the best structure of this formula in the dataset: 0.164 eV per atom
Symmetry: P4mm, No. 99
Density: 7.078 g/cm³


[12]
The following is a PBE calculation of a relaxed structure of InSbAs2, from Alexandria via LeMat-Bulk.

Unit cell a=3.223 b=3.223 c=9.679 alpha=90.00 beta=90.00 gamma=105.27
Fractional positions:
In: 0.000 0.000 0.000
Sb: 0.500 0.500 0.730
As: 0.000 0.000 0.453
As: 0.500 0.500 0.277

Summary:
DOS at the Fermi energy: 0.8 states/eV/cell
E_tot: -0.2782 Ry/atom
V: 24.25 A^3/atom
Energy relative to the elements, uncorrected: 1.0 eV per formula unit
Excess energy over the best structure of this formula in the dataset: 0.287 eV per atom
Symmetry: Cmm2, No. 35
Density: 6.614 g/cm³